Material: PuPaTc
Method: DFT, GGA-PBE
State: relaxed

Results
Energy above the lowest structure with this stoichiometry (meV/atom): 40
SG: P3m1 (156)

Cell lengths 4.6512, 4.6512, 3.2278 Å; angles 90.00, 90.00, 120.00 degrees
Last column: nearest neighbours and their distance in Å.
Fractional positions:
Pu  0.0000  0.0000  0.0000  3 Pa 2.85, 3 Tc 2.92
Pa  0.3333  0.6667  0.2928  3 Pu 2.85, 3 Tc 2.92
Tc  0.6667  0.3333  0.6450  3 Pa 2.92, 3 Pu 2.92, 2 Tc 3.23



Material: Pu2PaTc3
Method: DFT, GGA-PBE
State: relaxed

Results
SG: Imma (74)

Cell lengths 6.9767, 6.9767, 6.9767 Å; angles 109.30, 90.99, 130.72 degrees
Last column: nearest neighbours and their distance in Å.
Fractional positions:
Pu  0.2342  0.1550  0.0791  1 Pu 2.38, 2 Tc 2.61
Pu  0.4241  0.8450  0.5791  1 Pu 2.38, 2 Tc 2.61
Pu  0.5759  0.1550  0.4209  1 Pu 2.38, 2 Tc 2.61
Pu  0.7658  0.8450  0.9209  1 Pu 2.38, 2 Tc 2.61
Pa  0.0408  0.2908  0.7500  4 Pu 3.09-3.31, 6 Tc 3.11-3.35
Pa  0.9592  0.7092  0.2500  4 Pu 3.09-3.31, 6 Tc 3.11-3.35
Tc  0.0000  0.3169  0.3169  4 Pu 2.61-2.82, 2 Tc 2.90
Tc  0.0000  0.6831  0.6831  4 Pu 2.61-2.82, 2 Tc 2.90
Tc  0.5000  0.0000  0.0000  4 Pu 2.68, 4 Tc 2.90
Tc  0.5000  0.3169  0.8169  4 Pu 2.61-2.82, 2 Tc 2.90
Tc  0.5000  0.5000  0.5000  4 Pu 2.68, 4 Tc 2.90
Tc  0.5000  0.6831  0.1831  4 Pu 2.61-2.82, 2 Tc 2.90



Material: Pu2Pa2Tc3
Method: DFT, GGA-PBE
State: relaxed

Results
SG: C2/m (12)

Cell lengths 4.9326, 4.9326, 7.1131 Å; angles 109.90, 109.90, 60.39 degrees
Last column: nearest neighbours and their distance in Å.
Fractional positions:
Pu  0.2180  0.2180  0.1521  1 Pa 2.77, 7 Tc 2.96-3.03
Pu  0.7820  0.7820  0.8479  1 Pa 2.77, 7 Tc 2.96-3.03
Pa  0.3582  0.3582  0.5760  1 Pu 2.77, 4 Tc 2.77-2.97, 3 Pa 3.01-3.03
Pa  0.6418  0.6418  0.4240  1 Pu 2.77, 4 Tc 2.77-2.97, 3 Pa 3.01-3.03
Tc  0.0657  0.0657  0.6994  1 Tc 2.61
Tc  0.5000  0.5000  0.0000  2 Pa 2.77, 6 Pu 3.00-3.03
Tc  0.9343  0.9343  0.3006  1 Tc 2.61



Material: PuPa8Tc5
Method: DFT, GGA-PBE
State: relaxed

Results
SG: I-4 (82)

Cell lengths 7.3583, 7.3583, 7.3583 Å; angles 110.61, 110.61, 107.22 degrees
Last column: nearest neighbours and their distance in Å.
Fractional positions:
Pu  0.0000  0.0000  0.0000  4 Pa 2.56
Pa  0.0881  0.7350  0.7562  1 Pu 2.56, 1 Tc 2.78
Pa  0.1440  0.2629  0.7319  4 Tc 2.66-2.89
Pa  0.2650  0.0212  0.3531  1 Pu 2.56, 1 Tc 2.78
Pa  0.5310  0.4120  0.2681  4 Tc 2.66-2.89
Pa  0.5880  0.8560  0.1189  4 Tc 2.66-2.89
Pa  0.6681  0.9119  0.6469  1 Pu 2.56, 1 Tc 2.78
Pa  0.7371  0.4690  0.8811  4 Tc 2.66-2.89
Pa  0.9788  0.3319  0.2438  1 Pu 2.56, 1 Tc 2.78
Tc  0.2749  0.5960  0.1762  5 Pa 2.66-2.97
Tc  0.4040  0.5803  0.6789  5 Pa 2.66-2.97
Tc  0.4197  0.0987  0.8238  5 Pa 2.66-2.97
Tc  0.7500  0.2500  0.5000  8 Pa 2.75-3.03
Tc  0.9013  0.7251  0.3211  5 Pa 2.66-2.97



| no. | energy of formation (eV per atom) |
| --- | --- |
| 1 | -0.11 |
| 2 | 0.26 |
| 3 | -0.04 |
| 4 | -0.08 |